(1)
Material: LaOs4
Method: DFT, GGA-PBE
State: optimized geometry

Computed properties:
Its space-group type is I4/mmm, No. 139. The total moment comes out at 0.0 μB/f.u. The crystal system is tetragonal. Its energy relative to the lowest polymorph listed for this composition is 0.00 eV/f.u.

```
data_LaOs4
_cell_length_a 6.1198
_cell_length_b 6.1198
_cell_length_c 6.1198
_cell_angle_alpha 139.51
_cell_angle_beta 139.51
_cell_angle_gamma 58.59
_space_group_name_H-M_alt 'P 1'
_space_group_IT_number 1
loop_
_space_group_symop_operation_xyz
'x,y,z'
loop_
_atom_site_label
_atom_site_fract_x
_atom_site_fract_y
_atom_site_fract_z
La1 0.0000 0.0000 0.0000
Os1 0.7500 0.2500 0.5000
Os2 0.6126 0.6126 0.0000
Os3 0.3874 0.3874 0.0000
Os4 0.2500 0.7500 0.5000
```

(2)
Material: Mg4Sn2Hg
Method: DFT, GGA-PBE
State: optimized geometry

Computed properties:
Its space-group type is I4/mmm, No. 139. The total moment comes out at 0.0 μB/f.u. The crystal system is tetragonal. Its energy relative to the lowest polymorph listed for this composition is 0.00 eV/f.u.

```
data_Mg4Sn2Hg
_cell_length_a 6.0902
_cell_length_b 6.0902
_cell_length_c 6.0902
_cell_angle_alpha 106.13
_cell_angle_beta 111.17
_cell_angle_gamma 111.17
_space_group_name_H-M_alt 'P 1'
_space_group_IT_number 1
loop_
_space_group_symop_operation_xyz
'x,y,z'
loop_
_atom_site_label
_atom_site_fract_x
_atom_site_fract_y
_atom_site_fract_z
Mg1 0.5000 0.0000 0.0000
Mg2 0.5000 0.5000 0.5000
Mg3 0.0000 0.0000 0.5000
Mg4 0.0000 0.5000 0.0000
Sn1 0.5000 0.5000 0.0000
Sn2 0.5000 0.0000 0.5000
Hg1 0.0000 0.0000 0.0000
```

(3)
Material: CuPdO
Method: DFT, GGA-PBE
State: optimized geometry

Computed properties:
Its space-group type is Fmm2, No. 42. The total moment comes out at 0.0 μB/f.u. For the raw formation energy, the calculation gives -0.004 eV/atom. The crystal system is orthorhombic. Its energy relative to the lowest polymorph listed for this composition is 0.00 eV/f.u.

```
data_CuPdO
_cell_length_a 2.8736
_cell_length_b 2.8736
_cell_length_c 5.0817
_cell_angle_alpha 99.00
_cell_angle_beta 99.00
_cell_angle_gamma 116.54
_space_group_name_H-M_alt 'P 1'
_space_group_IT_number 1
loop_
_space_group_symop_operation_xyz
'x,y,z'
loop_
_atom_site_label
_atom_site_fract_x
_atom_site_fract_y
_atom_site_fract_z
Pd1 0.9867 0.9867 0.9734
O1 0.3198 0.3198 0.6397
Cu1 0.6934 0.6934 0.3869
```

(4)
Material: KInIF
Method: DFT, GGA-PBE
State: optimized geometry

Computed properties:
Its space-group type is R-3m, No. 166. The total moment comes out at 0.0 μB/f.u. For the raw formation energy, the calculation gives -1.502 eV/atom. The crystal system is trigonal.

```
data_KInIF
_cell_length_a 5.7632
_cell_length_b 5.7632
_cell_length_c 11.3849
_cell_angle_alpha 75.34
_cell_angle_beta 75.34
_cell_angle_gamma 60.00
_space_group_name_H-M_alt 'P 1'
_space_group_IT_number 1
loop_
_space_group_symop_operation_xyz
'x,y,z'
loop_
_atom_site_label
_atom_site_fract_x
_atom_site_fract_y
_atom_site_fract_z
K1 0.1291 0.1291 0.6128
K2 0.8709 0.8709 0.3872
In1 0.7249 0.7249 0.8252
In2 0.2751 0.2751 0.1748
I1 0.5883 0.5883 0.2350
I2 0.4117 0.4117 0.7650
F1 0.7944 0.7944 0.6168
F2 0.2056 0.2056 0.3832
```

Q: What is the formula in the third record?
A: CuPdO